Density functional theory data (PBE+U) for MgBiMoO5 after structural relaxation.

## Properties
DFT total energy ... -6.444 eV per atom
Calculated volume ... 13.52 Å³ per atom
Size of the total moment ... 8.0 Bohr magnetons per cell

Geometry as POSCAR:
```
MgBiMoO5
1.0
5.4353 0.0000 0.0000
0.0000 10.0762 0.0000
0.0000 0.0000 15.8042
Mo O Mg Bi
8 40 8 8
Direct
0.4119 0.3869 0.0707
0.5881 0.1131 0.5707
0.9119 0.6131 0.4293
0.0881 0.3869 0.5707
0.9119 0.1131 0.0707
0.4119 0.8869 0.4293
0.0881 0.8869 0.9293
0.5881 0.6131 0.9293
0.6752 0.5050 0.0527
0.1672 0.2740 0.3378
0.8248 0.5050 0.5527
0.8122 0.9898 0.6277
0.3352 0.7734 0.9772
0.3328 0.7740 0.6622
0.3352 0.2734 0.5228
0.3122 0.5102 0.6277
0.6672 0.2260 0.3378
0.6878 0.4898 0.3723
0.0004 0.1791 0.1832
0.1878 0.5102 0.1277
0.1878 0.0102 0.3723
0.0004 0.6791 0.3168
0.5004 0.3209 0.1832
0.3248 0.4950 0.9473
0.6752 0.0050 0.4473
0.4996 0.1791 0.6832
0.6648 0.2266 0.0228
0.3122 0.0102 0.8723
0.8122 0.4898 0.8723
0.4996 0.6791 0.8168
0.1752 0.9950 0.0527
0.1648 0.2734 0.0228
0.5004 0.8209 0.3168
0.6648 0.7266 0.4772
0.8352 0.2266 0.5228
0.8328 0.2260 0.8378
0.1752 0.4950 0.4473
0.1648 0.7734 0.4772
0.1672 0.7740 0.1622
0.3248 0.9950 0.5527
0.8352 0.7266 0.9772
0.9996 0.3209 0.6832
0.3328 0.2740 0.8378
0.9996 0.8209 0.8168
0.8328 0.7260 0.6622
0.6672 0.7260 0.1622
0.8248 0.0050 0.9473
0.6878 0.9898 0.1277
0.5603 0.6439 0.5887
0.0603 0.3561 0.9113
0.4397 0.3561 0.4113
0.9397 0.6439 0.0887
0.9397 0.1439 0.4113
0.4397 0.8561 0.0887
0.5603 0.1439 0.9113
0.0603 0.8561 0.5887
0.3711 0.1349 0.2576
0.6289 0.3651 0.7576
0.8711 0.8651 0.2424
0.6289 0.8651 0.7424
0.1289 0.1349 0.7576
0.1289 0.6349 0.7424
0.3711 0.6349 0.2424
0.8711 0.3651 0.2576
```